# Mn5Si2O10 SCAN PBEsol geometry
data_Mn5Si2O10
_cell_length_a 7.873
_cell_length_b 4.795
_cell_length_c 10.481
_cell_angle_alpha 90.00
_cell_angle_beta 107.44
_cell_angle_gamma 90.00
_space_group_name_H-M_alt 'P 1 21/c 1'
_space_group_IT_number 14
_space_group_name_Hall '-P 2ybc'
loop_
_atom_site_label
_atom_site_fract_x
_atom_site_fract_y
_atom_site_fract_z
Mn1 0.000 0.000 0.000
Mn2 0.211 0.032 0.333
Mn3 0.426 0.019 0.105
Si1 0.209 0.577 0.143
O1 0.039 0.719 0.180
O2 0.190 0.701 0.992
O3 0.222 0.235 0.145
O4 0.385 0.741 0.242
O5 0.399 0.199 0.939
# final energy	-429.19	eV/cell
# E_form (uncorrected)	-2410	meV per atom
# spin magnetization	46.00	μB per cell